La2Mg3Ge4 | PBE-GGA | relaxed

abc: 6.184 16.093 8.234
angles: 90.00 90.00 90.00
Space group Cmce (No. 64)
Inequivalent atoms, fractional coordinates:
La: 0.000 0.113 0.085
Mg: 0.000 0.000 0.500
Mg: 0.250 0.211 0.750
Ge: 0.000 0.187 0.447
Ge: 0.250 0.044 0.750

=====

La2MgGe | PBE-GGA | relaxed

abc: 6.400 4.376 8.993
angles: 90.00 108.83 90.00
Space group P2_1/m (No. 11)
Inequivalent atoms, fractional coordinates:
La: 0.188 0.250 0.421
La: 0.266 0.750 0.073
Mg: 0.356 0.750 0.720
Ge: 0.148 0.250 0.802

=====

LaMgGe | PBE-GGA | relaxed

abc: 4.5192 4.5192 4.3713
angles: 90.00 90.00 120.00
Space group P3m1 (No. 156)
Inequivalent atoms, fractional coordinates:
La: 0.0000 0.0000 0.0000
Mg: 0.3333 0.6667 0.4996
Ge: 0.6667 0.3333 0.5015

=====

La3Mg2Ge4 | PBE-GGA | relaxed

abc: 12.182 4.374 9.000
angles: 90.00 112.17 90.00
Space group C2/m (No. 12)
Inequivalent atoms, fractional coordinates:
La: 0.000 0.000 0.000
La: 0.113 0.500 0.689
Mg: 0.191 0.500 0.350
Ge: 0.086 0.000 0.391
Ge: 0.219 0.500 0.058

=====

LaMgGe | PBE-GGA | relaxed

abc: 6.913 6.913 6.913
angles: 90.00 90.00 90.00
Space group F-43m (No. 216)
Inequivalent atoms, fractional coordinates:
La: 0.000 0.000 0.000
Mg: 0.000 0.000 0.500
Ge: 0.250 0.250 0.250

=====

LaMgGe3 | PBE-GGA | relaxed

abc: 4.980 4.980 4.980
angles: 90.00 90.00 90.00
Space group Pm-3m (No. 221)
Inequivalent atoms, fractional coordinates:
La: 0.000 0.000 0.000
Mg: 0.500 0.500 0.500
Ge: 0.000 0.500 0.500

=====

Number 1: density of states at the Fermi level 5.1 states/eV/f.u., formation energy -0.52 eV per atom. Number 2: density of states at the Fermi level 5.4 states/eV/f.u., formation energy -0.42 eV per atom. Number 3: density of states at the Fermi level 1.5 states/eV/f.u., formation energy -0.55 eV per atom. Number 4: density of states at the Fermi level 4.0 states/eV/f.u., formation energy -0.68 eV per atom. Number 5: density of states at the Fermi level 1.8 states/eV/f.u., formation energy -0.50 eV per atom. Number 6: density of states at the Fermi level 2.9 states/eV/f.u., formation energy 0.02 eV per atom.